DFT (PBE-GGA) results for crystalline HfTi5Tc4 at its relaxed geometry.

Structure (POSCAR):
```
HfTi5Tc4
1.0
3.1303 0.0000 0.0000
0.0000 3.1303 0.0000
0.0000 0.0000 16.2479
Hf Ti Tc
1 5 4
Direct
0.0000 0.0000 0.0000
0.5000 0.5000 0.1259
0.5000 0.5000 0.3107
0.5000 0.5000 0.5000
0.5000 0.5000 0.6893
0.5000 0.5000 0.8741
0.0000 0.0000 0.2122
0.0000 0.0000 0.4050
0.0000 0.0000 0.5950
0.0000 0.0000 0.7878
```

Computed properties:
Fermi-level density of states   11.911 states/eV/f.u.
Energy   -9.482 eV/atom
Space group   P4/mmm